[1]
First-principles (PBE-GGA) data for a geometry-optimized La2SmEr3 structure, as listed in Alexandria.

DOS at the Fermi energy, states/eV per cell: 38.86
V, Å³/cell: 793
Energy relative to the elements, eV/atom: 0.0676

a = 11.4579 Å, b = 7.0583 Å, c = 11.2923 Å
α = 90.00°, β = 119.70°, γ = 90.00°
With the nearest neighbours (Å) after each atom.
Space group C2/c (No. 15)
Symmetry-distinct sites (fractional):
1 La 0.1607 0.0024 0.0801 x8  1 La 3.20, 4 Er 3.32-3.54
2 Sm 0.0000 0.2583 0.2500 x4  8 Er 3.42-3.82, 6 La 3.72-3.79
3 Er 0.0000 0.2574 0.7500 x4  2 Sm 3.42-3.64, 6 Er 3.68-3.82, 6 La 3.70-3.78
4 Er 0.1626 0.4986 0.5814 x8  1 Er 3.24, 4 La 3.32-3.54



[2]
First-principles (PBE-GGA) data for a geometry-optimized AcLa14Sc structure, as listed in Alexandria.

DOS at the Fermi energy, states/eV per cell: 54.16
V, Å³/cell: 1155
Energy relative to the elements, eV/atom: 0.0171

a = 10.4774 Å, b = 10.4940 Å, c = 10.5025 Å
α = 90.00°, β = 90.00°, γ = 90.00°
With the nearest neighbours (Å) after each atom.
Space group Cmmm (No. 65)
Symmetry-distinct sites (fractional):
1 Ac 0.0000 0.0000 0.0000 x2  12 La 3.71-3.76
2 La 0.0000 0.0000 0.5000 x2  12 La 3.71-3.79
3 La 0.0000 0.2584 0.2475 x8  10 La 3.58-3.83, 1 Sc 3.63, 1 Ac 3.76
4 La 0.0000 0.5000 0.5000 x2  12 La 3.66-3.71
5 La 0.2415 0.5000 0.2477 x8  10 La 3.58-3.83, 1 Sc 3.63, 1 Ac 3.76
6 La 0.2500 0.2500 0.0000 x4  8 La 3.69-3.70, 2 Ac 3.71, 2 Sc 3.71
7 La 0.2500 0.2500 0.5000 x4  12 La 3.71-3.73
8 Sc 0.0000 0.5000 0.0000 x2  12 La 3.63-3.71



[3]
First-principles (PBE-GGA) data for a geometry-optimized Mg2ZrBe structure, as listed in Alexandria.

DOS at the Fermi energy, states/eV per cell: 11.73
V, Å³/cell: 230
Energy relative to the elements, eV/atom: 0.3326

a = 3.0301 Å, b = 3.0301 Å, c = 28.9450 Å
α = 90.00°, β = 90.00°, γ = 120.00°
With the nearest neighbours (Å) after each atom.
Space group R-3m (No. 166, hexagonal axes)
Symmetry-distinct sites (fractional):
1 Mg 0.0000 0.0000 0.2382 x6  3 Be 2.71, 6 Mg 3.03
2 Zr 0.0000 0.0000 0.0000 x3  6 Zr 3.03, 6 Mg 3.26
3 Be 0.0000 0.0000 0.5000 x3  6 Mg 2.71, 6 Be 3.03